[1]
NbTlO3 | PBE | relaxed

Calculated values
SG = No. 63
E_form (uncorrected) = -9.67 eV/f.u.
spin magnetization = 0.0 μB per formula unit

a = 7.576 Å, b = 7.576 Å, c = 6.151 Å
α = 90.00°, β = 90.00°, γ = 131.46°
Element x y z (fractional)
O 0.939 0.604 0.250
O 0.604 0.939 0.750
O 0.061 0.396 0.750
Tl 0.674 0.326 0.750
Nb 0.085 0.915 0.250
Nb 0.915 0.085 0.750
O 0.000 0.000 0.000
O 0.396 0.061 0.250
O 0.000 0.000 0.500
Tl 0.326 0.674 0.250

[2]
NbTlO3 | PBE | relaxed

Calculated values
SG = No. 119
E_form (uncorrected) = -5.22 eV/f.u.
spin magnetization = 0.9 μB per formula unit

a = 4.227 Å, b = 4.227 Å, c = 11.285 Å
α = 79.21°, β = 79.21°, γ = 90.00°
Site moments in Bohr magnetons follow the coordinates.
Element x y z (fractional)
Nb 0.250 0.750 0.500  1.40
Tl 0.646 0.146 0.708  0.03
Nb 0.000 0.000 0.000  0.01
O 0.209 0.933 0.135  0.01
O 0.749 0.749 0.501  -0.07
O 0.251 0.251 0.499  -0.07
O 0.067 0.344 0.865  0.01
O 0.067 0.791 0.865  0.01
O 0.656 0.933 0.135  0.01
Tl 0.854 0.354 0.292  0.03

[3]
NbTl2O | PBE | relaxed

Calculated values
SG = No. 225
E_form (uncorrected) = 3.10 eV/f.u.
polymorph energy (0 for the lowest one) = 433 meV/atom
spin magnetization = 0.0 μB per formula unit

a = 4.845 Å, b = 4.845 Å, c = 4.845 Å
α = 60.00°, β = 60.00°, γ = 60.00°
Element x y z (fractional)
Nb 0.500 0.500 0.500
O 0.000 0.000 0.000
Tl 0.250 0.250 0.250
Tl 0.750 0.750 0.750

[4]
NbTlO3 | PBE | relaxed

Calculated values
SG = No. 15
E_form (uncorrected) = -10.03 eV/f.u.
spin magnetization = 0.0 μB per formula unit

a = 13.243 Å, b = 8.296 Å, c = 8.296 Å
α = 94.22°, β = 132.13°, γ = 47.87°
Element x y z (fractional)
O 0.075 0.944 0.925
Tl 0.716 0.092 0.124
Nb 0.250 0.510 0.010
O 0.624 0.820 0.858
Tl 0.216 0.376 0.408
Nb 0.750 0.170 0.670
O 0.575 0.575 0.556
Tl 0.784 0.624 0.592
O 0.376 0.180 0.142
O 0.070 0.212 0.176
O 0.876 0.358 0.320
O 0.930 0.788 0.824
O 0.425 0.425 0.444
O 0.430 0.676 0.712
O 0.925 0.056 0.075
Nb 0.250 0.830 0.330
O 0.124 0.642 0.680
O 0.570 0.324 0.288
Nb 0.750 0.490 0.990
Tl 0.284 0.908 0.876

[5]
NbTlO3 | PBE | relaxed

Calculated values
SG = No. 167
E_form (uncorrected) = -7.09 eV/f.u.
spin magnetization = 0.0 μB per formula unit

a = 6.201 Å, b = 6.201 Å, c = 6.201 Å
α = 65.63°, β = 65.63°, γ = 65.63°
Element x y z (fractional)
O 0.023 0.477 0.750
O 0.250 0.977 0.523
O 0.750 0.023 0.477
Tl 0.000 0.000 0.000
O 0.477 0.750 0.023
Tl 0.500 0.500 0.500
O 0.523 0.250 0.977
Nb 0.250 0.250 0.250
Nb 0.750 0.750 0.750
O 0.977 0.523 0.250

[6]
NbTlO | PBE | relaxed

Calculated values
SG = No. 129
E_form (uncorrected) = -2.83 eV/f.u.
spin magnetization = 0.0 μB per formula unit

a = 2.909 Å, b = 2.909 Å, c = 13.376 Å
α = 90.00°, β = 90.00°, γ = 90.00°
Element x y z (fractional)
Tl 0.000 0.500 0.878
Tl 0.500 0.000 0.122
O 0.500 0.000 0.651
O 0.000 0.500 0.349
Nb 0.500 0.000 0.408
Nb 0.000 0.500 0.592

[7]
NbTlO3 | PBE | relaxed

Calculated values
SG = No. 12
E_form (uncorrected) = -9.62 eV/f.u.
spin magnetization = 0.0 μB per formula unit

a = 18.436 Å, b = 7.686 Å, c = 7.686 Å
α = 156.33°, β = 153.25°, γ = 26.75°
Element x y z (fractional)
Tl 0.136 0.989 0.011
O 0.727 0.352 0.648
O 0.136 0.163 0.837
Nb 0.655 0.008 0.992
O 0.273 0.648 0.352
O 0.864 0.837 0.163
O 0.459 0.737 0.263
Tl 0.864 0.011 0.989
Nb 0.345 0.992 0.008
O 0.541 0.263 0.737

[8]
NbTl3O | PBE | relaxed

Calculated values
SG = No. 221
E_form (uncorrected) = 2.49 eV/f.u.
polymorph energy (0 for the lowest one) = 0 meV/atom
spin magnetization = 0.1 μB per formula unit

a = 4.795 Å, b = 4.795 Å, c = 4.795 Å
α = 90.00°, β = 90.00°, γ = 90.00°
Site moments in Bohr magnetons follow the coordinates.
Element x y z (fractional)
Tl 0.500 0.000 0.000  0.00
O 0.000 0.000 0.000  -0.01
Nb 0.500 0.500 0.500  0.14
Tl 0.000 0.000 0.500  0.00
Tl 0.000 0.500 0.000  -0.01